Record 1
# KHS2 (PBE-GGA, relaxed)
data_KHS2
_chemical_formula_sum 'K1 H1 S2'
_space_group_name_H-M_alt 'P 1'
_space_group_IT_number 1
_cell_length_a 8.2294
_cell_length_b 8.2294
_cell_length_c 8.2294
_cell_angle_alpha 23.87
_cell_angle_beta 23.87
_cell_angle_gamma 23.87
loop_
_space_group_symop_operation_xyz
'x,y,z'
loop_
_atom_site_label
_atom_site_fract_x
_atom_site_fract_y
_atom_site_fract_z
K1 0.0000 0.0000 0.0000
H1 0.5000 0.5000 0.5000
S1 0.4323 0.4323 0.4323
S2 0.5677 0.5677 0.5677
# **Total moment**: 0.0000 μB/atom
# **ΔE to the lowest computed polymorph**: 261 meV/atom
# **Density**: 2.16 g cm⁻³
# **SG**: R-3m
# **DOS(E_F)**: 0.762 states/eV/atom
# **Crystal system**: trigonal

***

Record 2
# KH6S3 (PBE-GGA, relaxed)
data_KH6S3
_chemical_formula_sum 'K1 H6 S3'
_space_group_name_H-M_alt 'P 1'
_space_group_IT_number 1
_cell_length_a 7.9293
_cell_length_b 7.9293
_cell_length_c 7.9293
_cell_angle_alpha 115.96
_cell_angle_beta 115.96
_cell_angle_gamma 115.96
loop_
_space_group_symop_operation_xyz
'x,y,z'
loop_
_atom_site_label
_atom_site_fract_x
_atom_site_fract_y
_atom_site_fract_z
K1 0.0000 0.0000 0.0000
H1 0.2266 0.2266 0.7271
H2 0.2266 0.7271 0.2266
H3 0.3847 0.8120 0.8120
H4 0.7271 0.2266 0.2266
H5 0.8120 0.3847 0.8120
H6 0.8120 0.8120 0.3847
S1 0.0059 0.0059 0.4263
S2 0.0059 0.4263 0.0059
S3 0.4263 0.0059 0.0059
# **Total moment**: 0.0608 μB/atom
# **Density**: 0.93 g cm⁻³
# **SG**: R3m
# **DOS(E_F)**: 0.162 states/eV/atom
# **Crystal system**: trigonal
# **Raw total energy**: -3.457 eV per atom

***

Record 3
# KH2S (PBE-GGA, relaxed)
data_KH2S
_chemical_formula_sum 'K1 H2 S1'
_space_group_name_H-M_alt 'P 1'
_space_group_IT_number 1
_cell_length_a 4.2546
_cell_length_b 4.2546
_cell_length_c 4.2546
_cell_angle_alpha 60.00
_cell_angle_beta 60.00
_cell_angle_gamma 60.00
loop_
_space_group_symop_operation_xyz
'x,y,z'
loop_
_atom_site_label
_atom_site_fract_x
_atom_site_fract_y
_atom_site_fract_z
K1 0.0000 0.0000 0.0000
H1 0.2500 0.2500 0.2500
H2 0.7500 0.7500 0.7500
S1 0.5000 0.5000 0.5000
# **Total moment**: 0.0000 μB/atom
# **ΔE to the lowest computed polymorph**: 629 meV/atom
# **Density**: 2.23 g cm⁻³
# **SG**: Fm-3m
# **DOS(E_F)**: 0.376 states/eV/atom
# **Crystal system**: cubic

***

Record 4
# KH3S (PBE-GGA, relaxed)
data_KH3S
_chemical_formula_sum 'K2 H6 S2'
_space_group_name_H-M_alt 'P 1'
_space_group_IT_number 1
_cell_length_a 4.5262
_cell_length_b 10.8104
_cell_length_c 4.6078
_cell_angle_alpha 90.00
_cell_angle_beta 90.00
_cell_angle_gamma 90.00
loop_
_space_group_symop_operation_xyz
'x,y,z'
loop_
_atom_site_label
_atom_site_fract_x
_atom_site_fract_y
_atom_site_fract_z
K1 0.0000 0.1713 0.0000
K2 0.0000 0.8287 0.5000
H1 0.5000 0.0435 0.6172
H2 0.5000 0.3819 0.8864
H3 0.5000 0.4320 0.0006
H4 0.5000 0.5680 0.5006
H5 0.5000 0.6181 0.3864
H6 0.5000 0.9565 0.1172
S1 0.5000 0.1587 0.4995
S2 0.5000 0.8413 0.9995
# **Total moment**: 0.0000 μB/atom
# **ΔE to the lowest computed polymorph**: 0 meV/atom
# **Density**: 1.09 g cm⁻³
# **SG**: Pmc2_1
# **DOS(E_F)**: 0.000 states/eV/atom
# **Crystal system**: orthorhombic

***

Record 5
# KHS (PBE-GGA, relaxed)
data_KHS
_chemical_formula_sum 'K2 H2 S2'
_space_group_name_H-M_alt 'P 1'
_space_group_IT_number 1
_cell_length_a 6.4002
_cell_length_b 6.4002
_cell_length_c 5.7353
_cell_angle_alpha 90.11
_cell_angle_beta 90.11
_cell_angle_gamma 29.72
loop_
_space_group_symop_operation_xyz
'x,y,z'
loop_
_atom_site_label
_atom_site_fract_x
_atom_site_fract_y
_atom_site_fract_z
K1 0.1116 0.1116 0.2506
K2 0.8884 0.8884 0.7494
H1 0.1546 0.1546 0.7521
H2 0.8454 0.8454 0.2479
S1 0.3750 0.3750 0.2496
S2 0.6250 0.6250 0.7504
# **Total moment**: 0.0000 μB/atom
# **Density**: 2.06 g cm⁻³
# **SG**: C2/m
# **DOS(E_F)**: 0.000 states/eV/atom
# **Crystal system**: monoclinic
# **Raw total energy**: -3.429 eV per atom

***

Record 6
# K3HS (PBE-GGA, relaxed)
data_K3HS
_chemical_formula_sum 'K6 H2 S2'
_space_group_name_H-M_alt 'P 1'
_space_group_IT_number 1
_cell_length_a 8.2677
_cell_length_b 4.4188
_cell_length_c 8.3367
_cell_angle_alpha 90.00
_cell_angle_beta 97.08
_cell_angle_gamma 90.00
loop_
_space_group_symop_operation_xyz
'x,y,z'
loop_
_atom_site_label
_atom_site_fract_x
_atom_site_fract_y
_atom_site_fract_z
K1 0.1001 0.2500 0.3269
K2 0.3141 0.2500 0.9645
K3 0.3855 0.7500 0.6193
K4 0.6145 0.2500 0.3807
K5 0.6859 0.7500 0.0355
K6 0.8999 0.7500 0.6731
H1 0.1447 0.2500 0.6623
H2 0.8553 0.7500 0.3377
S1 0.3588 0.7500 0.2285
S2 0.6412 0.2500 0.7715
# **Total moment**: 0.0000 μB/atom
# **ΔE to the lowest computed polymorph**: 0 meV/atom
# **Density**: 1.65 g cm⁻³
# **SG**: P2_1/m
# **DOS(E_F)**: 0.000 states/eV/atom
# **Crystal system**: monoclinic

***

Record 7
# KHS2 (PBE-GGA, relaxed)
data_KHS2
_chemical_formula_sum 'K2 H2 S4'
_space_group_name_H-M_alt 'P 1'
_space_group_IT_number 1
_cell_length_a 7.3638
_cell_length_b 7.3638
_cell_length_c 7.3638
_cell_angle_alpha 141.13
_cell_angle_beta 141.13
_cell_angle_gamma 56.14
loop_
_space_group_symop_operation_xyz
'x,y,z'
loop_
_atom_site_label
_atom_site_fract_x
_atom_site_fract_y
_atom_site_fract_z
K1 0.3750 0.6250 0.7500
K2 0.6250 0.3750 0.2500
H1 0.1250 0.8750 0.2500
H2 0.8750 0.1250 0.7500
S1 0.0000 0.0000 0.0000
S2 0.0000 0.0000 0.5000
S3 0.0000 0.5000 0.0000
S4 0.5000 0.0000 0.5000
# **Total moment**: 0.0000 μB/atom
# **ΔE to the lowest computed polymorph**: 0 meV/atom
# **Density**: 2.22 g cm⁻³
# **SG**: I4_1/amd
# **DOS(E_F)**: 0.404 states/eV/atom
# **Crystal system**: tetragonal

***

Record 8
# K5H2S4 (PBE-GGA, relaxed)
data_K5H2S4
_chemical_formula_sum 'K5 H2 S4'
_space_group_name_H-M_alt 'P 1'
_space_group_IT_number 1
_cell_length_a 8.5696
_cell_length_b 8.5696
_cell_length_c 7.8858
_cell_angle_alpha 91.20
_cell_angle_beta 91.20
_cell_angle_gamma 37.17
loop_
_space_group_symop_operation_xyz
'x,y,z'
loop_
_atom_site_label
_atom_site_fract_x
_atom_site_fract_y
_atom_site_fract_z
K1 0.0000 0.0000 0.0000
K2 0.3367 0.3367 0.9612
K3 0.3702 0.3702 0.5044
K4 0.6298 0.6298 0.4956
K5 0.6633 0.6633 0.0388
H1 0.1214 0.1214 0.2838
H2 0.8786 0.8786 0.7162
S1 0.2035 0.2035 0.2577
S2 0.4891 0.4891 0.2003
S3 0.5109 0.5109 0.7997
S4 0.7965 0.7965 0.7423
# **Total moment**: 0.0917 μB/atom
# **Density**: 1.55 g cm⁻³
# **SG**: C2/m
# **DOS(E_F)**: 0.015 states/eV/atom
# **Crystal system**: monoclinic
# **Raw total energy**: -3.389 eV per atom

***

Record 9
# KHS (PBE-GGA, relaxed)
data_KHS
_chemical_formula_sum 'K1 H1 S1'
_space_group_name_H-M_alt 'P 1'
_space_group_IT_number 1
_cell_length_a 4.9532
_cell_length_b 4.9532
_cell_length_c 4.9532
_cell_angle_alpha 125.31
_cell_angle_beta 125.31
_cell_angle_gamma 81.03
loop_
_space_group_symop_operation_xyz
'x,y,z'
loop_
_atom_site_label
_atom_site_fract_x
_atom_site_fract_y
_atom_site_fract_z
K1 0.0000 0.0000 0.0000
H1 0.3922 0.3922 0.0000
S1 0.5715 0.5715 0.0000
# **Total moment**: 0.0000 μB/atom
# **Density**: 1.54 g cm⁻³
# **SG**: I4mm
# **DOS(E_F)**: 0.000 states/eV/atom
# **Crystal system**: tetragonal
# **Raw total energy**: -3.616 eV per atom

***

Record 10
# KH2S (PBE-GGA, relaxed)
data_KH2S
_chemical_formula_sum 'K1 H2 S1'
_space_group_name_H-M_alt 'P 1'
_space_group_IT_number 1
_cell_length_a 5.1263
_cell_length_b 5.1263
_cell_length_c 5.1263
_cell_angle_alpha 41.23
_cell_angle_beta 41.23
_cell_angle_gamma 41.23
loop_
_space_group_symop_operation_xyz
'x,y,z'
loop_
_atom_site_label
_atom_site_fract_x
_atom_site_fract_y
_atom_site_fract_z
K1 0.0000 0.0000 0.0000
H1 0.1946 0.1946 0.1946
H2 0.8054 0.8054 0.8054
S1 0.5000 0.5000 0.5000
# **Total moment**: 0.0017 μB/atom
# **ΔE to the lowest computed polymorph**: 326 meV/atom
# **Density**: 2.30 g cm⁻³
# **SG**: R-3m
# **DOS(E_F)**: 0.502 states/eV/atom
# **Crystal system**: trigonal

***

Record 11
# KH2S (PBE-GGA, relaxed)
data_KH2S
_chemical_formula_sum 'K2 H4 S2'
_space_group_name_H-M_alt 'P 1'
_space_group_IT_number 1
_cell_length_a 7.1600
_cell_length_b 7.1600
_cell_length_c 7.1600
_cell_angle_alpha 144.06
_cell_angle_beta 144.06
_cell_angle_gamma 51.74
loop_
_space_group_symop_operation_xyz
'x,y,z'
loop_
_atom_site_label
_atom_site_fract_x
_atom_site_fract_y
_atom_site_fract_z
K1 0.3750 0.6250 0.7500
K2 0.6250 0.3750 0.2500
H1 0.0000 0.0000 0.0000
H2 0.0000 0.0000 0.5000
H3 0.0000 0.5000 0.0000
H4 0.5000 0.0000 0.5000
S1 0.1250 0.8750 0.2500
S2 0.8750 0.1250 0.7500
# **Total moment**: 0.0000 μB/atom
# **ΔE to the lowest computed polymorph**: 182 meV/atom
# **Density**: 1.93 g cm⁻³
# **SG**: I4_1/amd
# **DOS(E_F)**: 0.219 states/eV/atom
# **Crystal system**: tetragonal

***

Record 12
# K3HS (PBE-GGA, relaxed)
data_K3HS
_chemical_formula_sum 'K3 H1 S1'
_space_group_name_H-M_alt 'P 1'
_space_group_IT_number 1
_cell_length_a 5.0816
_cell_length_b 5.0816
_cell_length_c 5.0816
_cell_angle_alpha 90.00
_cell_angle_beta 90.00
_cell_angle_gamma 90.00
loop_
_space_group_symop_operation_xyz
'x,y,z'
loop_
_atom_site_label
_atom_site_fract_x
_atom_site_fract_y
_atom_site_fract_z
K1 0.0000 0.0000 0.5000
K2 0.0000 0.5000 0.0000
K3 0.5000 0.0000 0.0000
H1 0.0000 0.0000 0.0000
S1 0.5000 0.5000 0.5000
# **Total moment**: 0.0000 μB/atom
# **ΔE to the lowest computed polymorph**: 37 meV/atom
# **Density**: 1.90 g cm⁻³
# **SG**: Pm-3m
# **DOS(E_F)**: 0.000 states/eV/atom
# **Crystal system**: cubic

***

Question: Look up the total moment of the third one.
Answer: 0.0000 μB/atom

***

Question: Which value of DOS(E_F) does entry 5 give?
Answer: 0.000 states/eV/atom

***

Question: What is the formula in the ninth record?
Answer: KHS